[1]
# Tm5Te5Ru

An optimized crystal structure of Tm5Te5Ru (PBE, Alexandria).

abc: 6.036 7.448 8.477
angles: 107.34 90.00 113.91
Fractional coordinates of all 11 atoms:
Te (0.000, 0.000, 0.500)
Te (0.682, 0.364, 0.333)
Te (0.333, 0.666, 0.175)
Te (0.667, 0.334, 0.825)
Te (0.318, 0.636, 0.667)
Tm (0.147, 0.294, 0.304)
Tm (0.853, 0.706, 0.696)
Tm (0.146, 0.293, 0.851)
Tm (0.854, 0.707, 0.149)
Tm (0.500, 0.000, 0.000)
Ru (0.000, 0.000, 0.000)

Output
**ρ**: 8.0 g/cm3
**Total DFT energy (no corrections)**: -59.28 eV/cell
**D(E_F)**: 5.77 states/eV per cell
**ΔE_f (raw)**: -1.08 eV per atom

***

[2]
# ErNbOsRh

An optimized crystal structure of ErNbOsRh (PBE, Alexandria).

abc: 4.639 4.639 4.639
angles: 60.00 60.00 60.00
Fractional coordinates of all 4 atoms:
Nb (0.750, 0.750, 0.750)
Os (0.000, 0.000, 0.000)
Er (0.250, 0.250, 0.250)
Rh (0.500, 0.500, 0.500)

Output
**ρ**: 13.0 g/cm3
**Total DFT energy (no corrections)**: -34.65 eV/cell
**D(E_F)**: 3.20 states/eV per cell

***

[3]
# MgCuTe

An optimized crystal structure of MgCuTe (PBE, Alexandria).

abc: 4.091 5.652 6.213
angles: 75.37 88.55 71.39
Fractional coordinates of all 6 atoms:
Cu (0.408, 0.687, 0.079)
Cu (0.592, 0.313, 0.921)
Mg (0.908, 0.701, 0.775)
Mg (0.092, 0.299, 0.225)
Te (0.829, 0.845, 0.291)
Te (0.171, 0.155, 0.709)

Output
**ρ**: 5.4 g/cm3
**Total DFT energy (no corrections)**: -19.44 eV/cell
**Excess energy over the best structure of this formula in the dataset**: 11 meV per atom
**D(E_F)**: 1.48 states/eV per cell
**ΔE_f (raw)**: -0.30 eV per atom